[1]
A plane-wave DFT calculation with PBE-GGA was carried out for an optimized crystal structure of TcPb2N.

The raw formation energy is 1.13 eV/atom. The value obtained for the magnetic moment is 1.9 μB/f.u. As for the energy: -86.4 eV per cell. The calculation puts the density of states at the Fermi level at 2.280 states/eV/f.u.

POSCAR file:
```
TcPb2N
1.0
6.709 0.000 0.000
0.000 6.709 0.000
0.000 0.000 7.205
Tc Pb N
4 8 4
direct
0.000 0.000 0.000 Tc
0.000 0.500 0.250 Tc
0.500 0.000 0.750 Tc
0.500 0.500 0.500 Tc
0.194 0.250 0.625 Pb
0.250 0.694 0.875 Pb
0.250 0.806 0.375 Pb
0.306 0.250 0.125 Pb
0.694 0.750 0.125 Pb
0.750 0.194 0.375 Pb
0.750 0.306 0.875 Pb
0.806 0.750 0.625 Pb
0.000 0.000 0.500 N
0.000 0.500 0.750 N
0.500 0.000 0.250 N
0.500 0.500 0.000 N
```



[2]
A plane-wave DFT calculation with PBE-GGA was carried out for an optimized crystal structure of TlTc2As.

The value obtained for the energy of formation from the pure elements is 0.4220 eV per atom. The value obtained for the magnetic moment is 0.0 μB/f.u. As for the energy: -52.1 eV per cell. The calculation puts the density of states at the Fermi level at 4.326 states/eV/f.u.

POSCAR file:
```
TlTc2As
1.0
4.534 0.000 0.000
0.000 3.042 0.000
0.000 0.000 10.426
Tl Tc As
2 4 2
direct
0.000 0.000 0.000 Tl
0.000 0.500 0.500 Tl
0.000 0.000 0.742 Tc
0.000 0.500 0.242 Tc
0.500 0.000 0.335 Tc
0.500 0.500 0.835 Tc
0.500 0.000 0.645 As
0.500 0.500 0.145 As
```



[3]
A plane-wave DFT calculation with PBE-GGA was carried out for an optimized crystal structure of LiTlBC2.

The value obtained for the energy of formation from the pure elements is 2.7292 eV per atom. The value obtained for the magnetic moment is 0.0 μB/f.u. As for the energy: -15.8 eV per cell. The calculation puts the density of states at the Fermi level at 2.221 states/eV/f.u.

POSCAR file:
```
LiTlBC2
1.0
3.679 0.000 0.000
0.000 3.679 0.000
0.000 0.000 5.145
Li Tl B C
1 1 1 2
direct
0.000 0.000 0.000 Li
0.000 0.000 0.500 Tl
0.500 0.500 0.500 B
0.000 0.500 0.000 C
0.500 0.000 0.000 C
```



[4]
A plane-wave DFT calculation with PBE-GGA was carried out for an optimized crystal structure of NiBRh4.

The value obtained for the energy of formation from the pure elements is 0.0077 eV per atom. The value obtained for the magnetic moment is 1.8 μB/f.u. As for the energy: -83.6 eV per cell. The calculation puts the density of states at the Fermi level at 9.892 states/eV/f.u.

POSCAR file:
```
NiBRh4
1.0
6.445 -2.361 0.000
6.445 2.361 0.000
-1.808 0.000 5.124
Ni B Rh
2 2 8
direct
0.108 0.892 0.750 Ni
0.892 0.108 0.250 Ni
0.000 0.500 0.000 B
0.500 0.000 0.500 B
0.075 0.300 0.627 Rh
0.300 0.075 0.127 Rh
0.301 0.522 0.047 Rh
0.478 0.699 0.453 Rh
0.522 0.301 0.547 Rh
0.699 0.478 0.953 Rh
0.700 0.925 0.873 Rh
0.925 0.700 0.373 Rh
```



[5]
A plane-wave DFT calculation with PBE-GGA was carried out for an optimized crystal structure of Ce2Th3Se4.

The raw formation energy is -1.22 eV/atom. The value obtained for the magnetic moment is 2.0 μB/f.u. As for the energy: -59.1 eV per cell. The calculation puts the density of states at the Fermi level at 15.052 states/eV/f.u.

POSCAR file:
```
Ce2Th3Se4
1.0
7.979 -1.987 0.000
7.979 1.987 0.000
-2.470 0.000 7.912
Ce Th Se
2 3 4
direct
0.141 0.141 0.473 Ce
0.859 0.859 0.527 Ce
0.307 0.307 0.170 Th
0.500 0.500 0.000 Th
0.693 0.693 0.830 Th
0.042 0.042 0.758 Se
0.318 0.318 0.760 Se
0.682 0.682 0.240 Se
0.958 0.958 0.242 Se
```



[6]
A plane-wave DFT calculation with PBE-GGA was carried out for an optimized crystal structure of Pu9Bi11Pt4.

The value obtained for the energy of formation from the pure elements is -0.3447 eV per atom. The value obtained for the magnetic moment is 5.6 μB/f.u. As for the energy: -204.1 eV per cell. The calculation puts the density of states at the Fermi level at 92.991 states/eV/f.u.

POSCAR file:
```
Pu9Bi11Pt4
1.0
6.912 -11.145 0.000
6.912 11.145 0.000
0.000 0.000 4.191
Pu Bi Pt
9 11 4
direct
0.000 0.000 0.000 Pu
0.116 0.652 0.000 Pu
0.292 0.449 0.000 Pu
0.348 0.884 0.000 Pu
0.449 0.292 0.000 Pu
0.551 0.708 0.000 Pu
0.652 0.116 0.000 Pu
0.708 0.551 0.000 Pu
0.884 0.348 0.000 Pu
0.093 0.421 0.500 Bi
0.125 0.875 0.500 Bi
0.196 0.196 0.500 Bi
0.327 0.673 0.500 Bi
0.421 0.093 0.500 Bi
0.500 0.500 0.500 Bi
0.579 0.907 0.500 Bi
0.673 0.327 0.500 Bi
0.804 0.804 0.500 Bi
0.875 0.125 0.500 Bi
0.907 0.579 0.500 Bi
0.056 0.248 0.000 Pt
0.248 0.056 0.000 Pt
0.752 0.944 0.000 Pt
0.944 0.752 0.000 Pt
```



Which of these has the highest energy? LiTlBC2



What did the fourth record say?
A plane-wave DFT calculation with PBE-GGA was carried out for an optimized crystal structure of NiBRh4.

The value obtained for the energy of formation from the pure elements is 0.0077 eV per atom. The value obtained for the magnetic moment is 1.8 μB/f.u. As for the energy: -83.6 eV per cell. The calculation puts the density of states at the Fermi level at 9.892 states/eV/f.u.

POSCAR file:
```
NiBRh4
1.0
6.445 -2.361 0.000
6.445 2.361 0.000
-1.808 0.000 5.124
Ni B Rh
2 2 8
direct
0.108 0.892 0.750 Ni
0.892 0.108 0.250 Ni
0.000 0.500 0.000 B
0.500 0.000 0.500 B
0.075 0.300 0.627 Rh
0.300 0.075 0.127 Rh
0.301 0.522 0.047 Rh
0.478 0.699 0.453 Rh
0.522 0.301 0.547 Rh
0.699 0.478 0.953 Rh
0.700 0.925 0.873 Rh
0.925 0.700 0.373 Rh
```